DFT (PBE-GGA) results for a geometry-optimized HoHfAu structure.

a = 3.8363 Å, b = 3.8363 Å, c = 9.5240 Å
α = 90.00°, β = 90.00°, γ = 90.00°
Sites, in units of the cell vectors:
1 Au 0.0000 0.5000 0.5970
2 Au 0.5000 0.0000 0.4030
3 Ho 0.5000 0.0000 0.7257
4 Ho 0.0000 0.5000 0.2743
5 Hf 0.0000 0.5000 0.9355
6 Hf 0.5000 0.0000 0.0645

Space-group type = P4/nmm, No. 129
Uncorrected energy = -6.325 eV per atom
Fermi-level density of states = 1.2301 states/eV per atom
Formation energy = -0.3885 eV/atom